Record 1
DFT (PBE) results for an optimized crystal structure of HgAuNF2.

Properties
**Uncorrected formation energy**: 0.188 eV per atom
**M_tot**: 0.40 Bohr magnetons per cell
**VASP energy**: -2.942 eV per atom
**SG**: P4/mmm

Cell: 4.6580 4.6580 3.8183 Å, 90.00 90.00 90.00°
Last column: nearest neighbours and their distance in Å.
Positions (direct):
Hg1 0.0000 0.0000 0.0000  8 F 3.01, 4 N 3.29
Au1 0.5000 0.5000 0.5000  2 N 1.91
N1 0.5000 0.5000 0.0000  2 Au 1.91
F1 0.0000 0.5000 0.5000  2 Au 2.33
F2 0.5000 0.0000 0.5000  2 Au 2.33

---

Record 2
DFT (PBE) results for an optimized crystal structure of HgAuNF2.

Properties
**Uncorrected formation energy**: 0.484 eV per atom
**M_tot**: 1.58 Bohr magnetons per cell
**VASP energy**: -2.646 eV per atom
**SG**: P4/mmm

Cell: 4.5933 4.5933 4.2010 Å, 90.00 90.00 90.00°
Last column: nearest neighbours and their distance in Å.
Positions (direct):
Hg1 0.0000 0.0000 0.0000  2 N 2.10, 4 F 2.30
Au1 0.5000 0.5000 0.5000  8 F 3.11, 4 N 3.25
N1 0.0000 0.0000 0.5000  2 Hg 2.10
F1 0.0000 0.5000 0.0000  2 Hg 2.30
F2 0.5000 0.0000 0.0000  2 Hg 2.30